DFT (GGA-PBE) results for an optimized crystal structure of Ac2ScVSe6.

It has space group P2_1/c (No. 14), with a = 6.872 Å, b = 7.551 Å, c = 12.134 Å, α = 90.00°, β = 123.97° and γ = 90.00°. The inequivalent atoms are Ac at (0.213, 0.097, 0.249), Sc at (0.500, 0.000, 0.000), V at (0.000, 0.000, 0.500), Se at (0.129, 0.196, 0.952), Se at (0.265, 0.686, 0.953) and Se at (0.340, 0.011, 0.744).

As for the total energy: -121.3 eV/cell.